# 1
Computed, not measured: a geometry-optimized GePtCl structure at the PBE-GGA level of DFT.

The space group is P2_1/c (No. 14) and the conventional cell measures 6.4044, 6.1074 and 6.8104 Å, with angles of 90.00, 99.89 and 90.00 degrees. The distinct sites, in fractional coordinates, are Ge at (0.1230, 0.1258, 0.3595), Pt at (0.2289, 0.0367, 0.7177) and Cl at (0.3664, 0.6377, 0.7006).

For the formation energy without anion corrections, the calculation gives -37 kJ/mol of atoms.



# 2
Computed, not measured: a geometry-optimized Ge2PtCl structure at the PBE-GGA level of DFT.

The space group is Fm-3m (No. 225) and the conventional cell measures 6.6123, 6.6123 and 6.6123 Å, with angles of 90.00, 90.00 and 90.00 degrees. The distinct sites, in fractional coordinates, are Ge at (0.2500, 0.2500, 0.2500), Pt at (0.0000, 0.0000, 0.0000) and Cl at (0.0000, 0.0000, 0.5000).

For the formation energy without anion corrections, the calculation gives 8 kJ/mol of atoms. The calculation puts the offset from the most stable computed form at 49.26 kJ/mol of atoms.



# 3
Computed, not measured: a geometry-optimized GePt2Cl structure at the PBE-GGA level of DFT.

The space group is I-42d (No. 122) and the conventional cell measures 6.3261, 6.3261 and 8.5076 Å, with angles of 90.00, 90.00 and 90.00 degrees. The distinct sites, in fractional coordinates, are Ge at (0.0000, 0.0000, 0.0000), Pt at (0.2282, 0.7500, 0.1250) and Cl at (0.0000, 0.0000, 0.5000).

For the formation energy without anion corrections, the calculation gives 12 kJ/mol of atoms. The calculation puts the offset from the most stable computed form at 0.00 kJ/mol of atoms.



# 4
Computed, not measured: a geometry-optimized Sm4GePtCl2 structure at the PBE-GGA level of DFT.

The space group is P2/m (No. 10) and the conventional cell measures 7.2596, 4.1294 and 7.4910 Å, with angles of 90.00, 108.59 and 90.00 degrees. The distinct sites, in fractional coordinates, are Sm at (0.2158, 0.0000, 0.2285), Sm at (0.2292, 0.5000, 0.7449), Ge at (0.0000, 0.0000, 0.5000), Pt at (0.0000, 0.5000, 0.0000), Cl at (0.5000, 0.0000, 0.0000) and Cl at (0.5000, 0.5000, 0.5000).

For the formation energy without anion corrections, the calculation gives -120 kJ/mol of atoms.



# 5
Computed, not measured: a geometry-optimized Pu2GeCl structure at the PBE-GGA level of DFT.

The space group is R-3m (No. 166, hexagonal axes) and the conventional cell measures 4.2463, 4.2463 and 18.9664 Å, with angles of 90.00, 90.00 and 120.00 degrees. The distinct sites, in fractional coordinates, are Pu at (0.0000, 0.0000, 0.2493), Ge at (0.0000, 0.0000, 0.0000) and Cl at (0.0000, 0.0000, 0.5000).

For the formation energy without anion corrections, the calculation gives -74 kJ/mol of atoms. The calculation puts the offset from the most stable computed form at 0.00 kJ/mol of atoms.



# 6
Computed, not measured: a geometry-optimized Pu4GeCl5 structure at the PBE-GGA level of DFT.

The space group is C2/m (No. 12) and the conventional cell measures 19.0850, 3.5952 and 9.6426 Å, with angles of 90.00, 104.69 and 90.00 degrees. The distinct sites, in fractional coordinates, are Pu at (0.0239, 0.0000, 0.2448), Pu at (0.0809, 0.5000, 0.7887), Ge at (0.0000, 0.5000, 0.0000), Cl at (0.0000, 0.5000, 0.5000), Cl at (0.1578, 0.0000, 0.3302) and Cl at (0.1869, 0.0000, 0.8245).

For the formation energy without anion corrections, the calculation gives -93 kJ/mol of atoms.



# 7
Computed, not measured: a geometry-optimized PuGe2Cl8 structure at the PBE-GGA level of DFT.

The space group is C2/m (No. 12) and the conventional cell measures 12.2290, 9.1200 and 7.9921 Å, with angles of 90.00, 107.37 and 90.00 degrees. The distinct sites, in fractional coordinates, are Pu at (0.0000, 0.0000, 0.0000), Ge at (0.1507, 0.0000, 0.6393), Cl at (0.0807, 0.1891, 0.8104), Cl at (0.1662, 0.5000, 0.2080) and Cl at (0.1905, 0.0000, 0.2366).

For the formation energy without anion corrections, the calculation gives -112 kJ/mol of atoms.



# 8
Computed, not measured: a geometry-optimized PuGeCl6 structure at the PBE-GGA level of DFT.

The space group is C2/m (No. 12) and the conventional cell measures 6.5928, 12.4031 and 6.5942 Å, with angles of 90.00, 105.89 and 90.00 degrees. The distinct sites, in fractional coordinates, are Pu at (0.0000, 0.0000, 0.0000), Ge at (0.0000, 0.5000, 0.5000), Cl at (0.2465, 0.1401, 0.2473) and Cl at (0.2477, 0.0000, 0.7532).

For the formation energy without anion corrections, the calculation gives -127 kJ/mol of atoms.



# 9
Computed, not measured: a geometry-optimized Pu2GeCl structure at the PBE-GGA level of DFT.

The space group is R3m (No. 160, hexagonal axes) and the conventional cell measures 3.6264, 3.6264 and 25.5690 Å, with angles of 90.00, 90.00 and 120.00 degrees. The distinct sites, in fractional coordinates, are Pu at (0.0000, 0.0000, 0.0000), Pu at (0.0000, 0.0000, 0.1734), Ge at (0.0000, 0.0000, 0.5867) and Cl at (0.0000, 0.0000, 0.4200).

For the formation energy without anion corrections, the calculation gives -67 kJ/mol of atoms. The calculation puts the offset from the most stable computed form at 6.84 kJ/mol of atoms.



# 10
Computed, not measured: a geometry-optimized Pu4GeCl4 structure at the PBE-GGA level of DFT.

The space group is I-42m (No. 121) and the conventional cell measures 7.0046, 7.0046 and 10.4682 Å, with angles of 90.00, 90.00 and 90.00 degrees. The distinct sites, in fractional coordinates, are Pu at (0.2155, 0.2155, 0.1614), Ge at (0.0000, 0.0000, 0.0000), Cl at (0.0000, 0.0000, 0.3436) and Cl at (0.0000, 0.5000, 0.0000).

For the formation energy without anion corrections, the calculation gives -81 kJ/mol of atoms.